1.
DFT (PBE) results for crystalline Zr3SnB at its relaxed geometry. Values from VASP.

Summary:
space-group type = Cmcm (63)
electronic total energy = -39.107 eV per formula unit

Quantum ESPRESSO input file:
```
&SYSTEM
  ibrav = 0, nat = 10, ntyp = 3
/
ATOMIC_SPECIES
B 10.81 B.upf
Sn 118.71 Sn.upf
Zr 91.22 Zr.upf
ATOMIC_POSITIONS crystal
B 0.000 0.000 0.000
B 0.000 0.000 0.500
Sn 0.751 0.249 0.250
Sn 0.249 0.751 0.750
Zr 0.370 0.630 0.040
Zr 0.038 0.962 0.250
Zr 0.370 0.630 0.460
Zr 0.630 0.370 0.540
Zr 0.962 0.038 0.750
Zr 0.630 0.370 0.960
CELL_PARAMETERS angstrom
1.782 -5.914 0.000
1.782 5.914 0.000
0.000 0.000 9.457
```

2.
DFT (PBE) results for crystalline Na2ZnReS4 at its relaxed geometry. Values from VASP.

Summary:
space-group type = I-4 (82)
electronic total energy = -37.342 eV per formula unit

Quantum ESPRESSO input file:
```
&SYSTEM
  ibrav = 0, nat = 8, ntyp = 4
/
ATOMIC_SPECIES
Na 22.99 Na.upf
Re 186.21 Re.upf
S 32.06 S.upf
Zn 65.41 Zn.upf
ATOMIC_POSITIONS crystal
Na 0.500 0.500 0.000
Na 0.250 0.750 0.500
Re 0.000 0.000 0.000
S 0.691 0.114 0.053
S 0.362 0.309 0.423
S 0.886 0.938 0.577
S 0.062 0.638 0.947
Zn 0.750 0.250 0.500
CELL_PARAMETERS angstrom
-3.160 3.160 4.822
3.160 -3.160 4.822
3.160 3.160 -4.822
```

3.
DFT (PBE) results for crystalline CsSiTeAuS2 at its relaxed geometry. Values from VASP.

Summary:
space-group type = Cmcm (63)
electronic total energy = -22.983 eV per formula unit

Quantum ESPRESSO input file:
```
&SYSTEM
  ibrav = 0, nat = 12, ntyp = 5
/
ATOMIC_SPECIES
Au 196.97 Au.upf
Cs 132.91 Cs.upf
S 32.06 S.upf
Si 28.09 Si.upf
Te 127.60 Te.upf
ATOMIC_POSITIONS crystal
Au 0.099 0.901 0.250
Au 0.901 0.099 0.750
Cs 0.769 0.231 0.250
Cs 0.231 0.769 0.750
S 0.093 0.907 0.029
S 0.093 0.907 0.471
S 0.907 0.093 0.529
S 0.907 0.093 0.971
Si 0.500 0.500 0.000
Si 0.500 0.500 0.500
Te 0.451 0.549 0.250
Te 0.549 0.451 0.750
CELL_PARAMETERS angstrom
5.102 7.578 -0.607
-5.105 -7.029 -2.894
-8.707 5.937 0.939
```

4.
DFT (PBE) results for crystalline ZnCuAu2 at its relaxed geometry. Values from VASP.

Summary:
DFT formation energy = -11 kJ/mol of formula units
space-group type = P6_3/mmc (194)

Quantum ESPRESSO input file:
```
&SYSTEM
  ibrav = 0, nat = 8, ntyp = 3
/
ATOMIC_SPECIES
Au 196.97 Au.upf
Cu 63.55 Cu.upf
Zn 65.41 Zn.upf
ATOMIC_POSITIONS crystal
Au 0.667 0.333 0.085
Au 0.667 0.333 0.415
Au 0.333 0.667 0.585
Au 0.333 0.667 0.915
Cu 0.000 0.000 0.000
Cu 0.000 0.000 0.500
Zn 0.333 0.667 0.250
Zn 0.667 0.333 0.750
CELL_PARAMETERS angstrom
2.192 -3.797 0.000
2.192 3.797 0.000
0.000 0.000 8.205
```

5.
DFT (PBE) results for crystalline Ta2Nb4Pb3N3 at its relaxed geometry. Values from VASP.

Summary:
space-group type = C2/c (15)
electronic total energy = -103.963 eV per formula unit

Quantum ESPRESSO input file:
```
&SYSTEM
  ibrav = 0, nat = 24, ntyp = 4
/
ATOMIC_SPECIES
N 14.01 N.upf
Nb 92.91 Nb.upf
Pb 207.20 Pb.upf
Ta 180.95 Ta.upf
ATOMIC_POSITIONS crystal
N 0.000 0.500 0.000
N 0.342 0.816 0.000
N 0.184 0.658 0.500
N 0.500 0.000 0.500
N 0.816 0.342 0.500
N 0.658 0.184 0.000
Nb 0.036 0.182 0.078
Nb 0.693 0.870 0.078
Nb 0.130 0.307 0.422
Nb 0.818 0.964 0.422
Nb 0.182 0.036 0.578
Nb 0.870 0.693 0.578
Nb 0.307 0.130 0.922
Nb 0.964 0.818 0.922
Pb 0.747 0.584 0.249
Pb 0.085 0.915 0.250
Pb 0.416 0.253 0.251
Pb 0.584 0.747 0.749
Pb 0.915 0.085 0.750
Pb 0.253 0.416 0.751
Ta 0.348 0.525 0.075
Ta 0.475 0.652 0.425
Ta 0.525 0.348 0.575
Ta 0.652 0.475 0.925
CELL_PARAMETERS angstrom
1.346 5.149 2.193
-4.118 3.923 0.887
-1.026 -7.936 11.742
```

6.
DFT (PBE) results for crystalline YMgFeSb at its relaxed geometry. Values from VASP.

Summary:
ΔE to the lowest computed polymorph = 74 meV per atom
space-group type = F-43m (216)

Quantum ESPRESSO input file:
```
&SYSTEM
  ibrav = 0, nat = 4, ntyp = 4
/
ATOMIC_SPECIES
Fe 55.84 Fe.upf
Mg 24.30 Mg.upf
Sb 121.76 Sb.upf
Y 88.91 Y.upf
ATOMIC_POSITIONS crystal
Fe 0.750 0.750 0.750
Mg 0.500 0.500 0.500
Sb 0.000 0.000 0.000
Y 0.250 0.250 0.250
CELL_PARAMETERS angstrom
4.879 -0.105 -0.512
2.318 -4.290 -0.546
1.988 -1.181 -4.328
```

7.
DFT (PBE) results for crystalline PmTeAu at its relaxed geometry. Values from VASP.

Summary:
ΔE to the lowest computed polymorph = 0 meV per atom
space-group type = F-43m (216)

Quantum ESPRESSO input file:
```
&SYSTEM
  ibrav = 0, nat = 3, ntyp = 3
/
ATOMIC_SPECIES
Au 196.97 Au.upf
Pm 145.00 Pm.upf
Te 127.60 Te.upf
ATOMIC_POSITIONS crystal
Au 0.250 0.250 0.250
Pm 0.000 0.000 0.000
Te 0.750 0.750 0.750
CELL_PARAMETERS angstrom
-2.240 -3.277 3.225
-4.925 -1.232 -0.618
-1.283 -4.686 -1.598
```

8.
DFT (PBE) results for crystalline CdCuAsOs at its relaxed geometry. Values from VASP.

Summary:
ΔE to the lowest computed polymorph = 0 meV per atom
space-group type = F-43m (216)

Quantum ESPRESSO input file:
```
&SYSTEM
  ibrav = 0, nat = 4, ntyp = 4
/
ATOMIC_SPECIES
As 74.92 As.upf
Cd 112.41 Cd.upf
Cu 63.55 Cu.upf
Os 190.23 Os.upf
ATOMIC_POSITIONS crystal
As 0.000 0.000 0.000
Cd 0.500 0.500 0.500
Cu 0.750 0.750 0.750
Os 0.250 0.250 0.250
CELL_PARAMETERS angstrom
0.000 3.169 3.169
3.169 0.000 3.169
3.169 3.169 0.000
```

9.
DFT (PBE) results for crystalline Pu3As2Se at its relaxed geometry. Values from VASP.

Summary:
space-group type = C2/c (15)
electronic total energy = -63.073 eV per formula unit

Quantum ESPRESSO input file:
```
&SYSTEM
  ibrav = 0, nat = 12, ntyp = 3
/
ATOMIC_SPECIES
As 74.92 As.upf
Pu 244.00 Pu.upf
Se 78.96 Se.upf
ATOMIC_POSITIONS crystal
As 0.748 0.252 0.250
As 0.084 0.916 0.250
As 0.916 0.084 0.750
As 0.252 0.748 0.750
Pu 0.000 0.500 0.000
Pu 0.670 0.839 0.001
Pu 0.161 0.330 0.499
Pu 0.500 0.000 0.500
Pu 0.839 0.670 0.501
Pu 0.330 0.161 0.999
Se 0.418 0.582 0.250
Se 0.582 0.418 0.750
CELL_PARAMETERS angstrom
3.586 -6.204 0.000
3.586 6.204 0.000
-2.386 0.000 6.775
```

10.
DFT (PBE) results for crystalline SrDyAgSe2S at its relaxed geometry. Values from VASP.

Summary:
space-group type = Cmcm (63)
electronic total energy = -29.493 eV per formula unit

Quantum ESPRESSO input file:
```
&SYSTEM
  ibrav = 0, nat = 12, ntyp = 5
/
ATOMIC_SPECIES
Ag 107.87 Ag.upf
Dy 162.50 Dy.upf
S 32.06 S.upf
Se 78.96 Se.upf
Sr 87.62 Sr.upf
ATOMIC_POSITIONS crystal
Ag 0.025 0.975 0.250
Ag 0.975 0.025 0.750
Dy 0.500 0.500 0.000
Dy 0.500 0.500 0.500
S 0.417 0.583 0.250
S 0.583 0.417 0.750
Se 0.143 0.857 0.053
Se 0.143 0.857 0.447
Se 0.857 0.143 0.553
Se 0.857 0.143 0.947
Sr 0.758 0.242 0.250
Sr 0.242 0.758 0.750
CELL_PARAMETERS angstrom
2.083 -6.873 0.000
2.083 6.873 0.000
0.000 0.000 10.428
```

11.
DFT (PBE) results for crystalline Hf2IrPd at its relaxed geometry. Values from VASP.

Summary:
DFT formation energy = -328 kJ/mol of formula units
ΔE to the lowest computed polymorph = 0 meV per atom
space-group type = Cmcm (63)

Quantum ESPRESSO input file:
```
&SYSTEM
  ibrav = 0, nat = 8, ntyp = 3
/
ATOMIC_SPECIES
Hf 178.49 Hf.upf
Ir 192.22 Ir.upf
Pd 106.42 Pd.upf
ATOMIC_POSITIONS crystal
Hf 0.696 0.304 0.250
Hf 0.436 0.564 0.250
Hf 0.564 0.436 0.750
Hf 0.304 0.696 0.750
Ir 0.832 0.168 0.250
Ir 0.168 0.832 0.750
Pd 0.058 0.942 0.250
Pd 0.942 0.058 0.750
CELL_PARAMETERS angstrom
-1.438 8.239 -5.300
-1.989 -8.341 4.950
-0.446 2.302 3.700
```

12.
DFT (PBE) results for crystalline SrHgAsF at its relaxed geometry. Values from VASP.

Summary:
space-group type = P4/nmm (129)
electronic total energy = -15.195 eV per formula unit

Quantum ESPRESSO input file:
```
&SYSTEM
  ibrav = 0, nat = 8, ntyp = 4
/
ATOMIC_SPECIES
As 74.92 As.upf
F 19.00 F.upf
Hg 200.59 Hg.upf
Sr 87.62 Sr.upf
ATOMIC_POSITIONS crystal
As 0.000 0.500 0.202
As 0.500 0.000 0.798
F 0.000 0.000 0.500
F 0.500 0.500 0.500
Hg 0.000 0.000 0.000
Hg 0.500 0.500 0.000
Sr 0.500 0.000 0.353
Sr 0.000 0.500 0.647
CELL_PARAMETERS angstrom
4.317 0.000 0.000
0.000 4.317 0.000
0.000 0.000 8.956
```

13.
DFT (PBE) results for crystalline Ba2TmOsSe6 at its relaxed geometry. Values from VASP.

Summary:
space-group type = I4/m (87)
electronic total energy = -51.433 eV per formula unit

Quantum ESPRESSO input file:
```
&SYSTEM
  ibrav = 0, nat = 10, ntyp = 4
/
ATOMIC_SPECIES
Ba 137.33 Ba.upf
Os 190.23 Os.upf
Se 78.96 Se.upf
Tm 168.93 Tm.upf
ATOMIC_POSITIONS crystal
Ba 0.750 0.250 0.500
Ba 0.250 0.750 0.500
Os 0.500 0.500 0.000
Se 0.260 0.260 0.000
Se 0.740 0.740 0.000
Se 0.266 0.745 0.012
Se 0.745 0.734 0.479
Se 0.255 0.266 0.521
Se 0.734 0.255 0.988
Tm 0.000 0.000 0.000
CELL_PARAMETERS angstrom
-3.665 3.665 5.184
3.665 -3.665 5.184
3.665 3.665 -5.184
```

14.
DFT (PBE) results for crystalline NbCdGa at its relaxed geometry. Values from VASP.

Summary:
space-group type = F-43m (216)
electronic total energy = -12.239 eV per formula unit

Quantum ESPRESSO input file:
```
&SYSTEM
  ibrav = 0, nat = 3, ntyp = 3
/
ATOMIC_SPECIES
Cd 112.41 Cd.upf
Ga 69.72 Ga.upf
Nb 92.91 Nb.upf
ATOMIC_POSITIONS crystal
Cd 0.250 0.250 0.250
Ga 0.750 0.750 0.750
Nb 0.000 0.000 0.000
CELL_PARAMETERS angstrom
0.000 3.205 3.205
3.205 0.000 3.205
3.205 3.205 0.000
```

15.
DFT (PBE) results for crystalline HfCuNi4 at its relaxed geometry. Values from VASP.

Summary:
DFT formation energy = -217 kJ/mol of formula units
space-group type = F-43m (216)

Quantum ESPRESSO input file:
```
&SYSTEM
  ibrav = 0, nat = 6, ntyp = 3
/
ATOMIC_SPECIES
Cu 63.55 Cu.upf
Hf 178.49 Hf.upf
Ni 58.69 Ni.upf
ATOMIC_POSITIONS crystal
Cu 0.000 0.000 0.000
Hf 0.750 0.750 0.750
Ni 0.374 0.374 0.374
Ni 0.877 0.374 0.374
Ni 0.374 0.877 0.374
Ni 0.374 0.374 0.877
CELL_PARAMETERS angstrom
0.000 3.344 3.344
3.344 0.000 3.344
3.344 3.344 0.000
```

16.
DFT (PBE) results for crystalline LiTlOsW at its relaxed geometry. Values from VASP.

Summary:
ΔE to the lowest computed polymorph = 0 meV per atom
space-group type = F-43m (216)

Quantum ESPRESSO input file:
```
&SYSTEM
  ibrav = 0, nat = 4, ntyp = 4
/
ATOMIC_SPECIES
Li 6.94 Li.upf
Os 190.23 Os.upf
Tl 204.38 Tl.upf
W 183.84 W.upf
ATOMIC_POSITIONS crystal
Li 0.750 0.750 0.750
Os 0.250 0.250 0.250
Tl 0.500 0.500 0.500
W 0.000 0.000 0.000
CELL_PARAMETERS angstrom
2.036 -0.914 3.882
-2.409 -0.384 3.756
-0.533 -4.011 1.918
```

17.
DFT (PBE) results for crystalline SnMoIr at its relaxed geometry. Values from VASP.

Summary:
space-group type = F-43m (216)
electronic total energy = -23.764 eV per formula unit

Quantum ESPRESSO input file:
```
&SYSTEM
  ibrav = 0, nat = 3, ntyp = 3
/
ATOMIC_SPECIES
Ir 192.22 Ir.upf
Mo 95.94 Mo.upf
Sn 118.71 Sn.upf
ATOMIC_POSITIONS crystal
Ir 0.000 0.000 0.000
Mo 0.250 0.250 0.250
Sn 0.750 0.750 0.750
CELL_PARAMETERS angstrom
0.998 -2.812 3.177
-1.732 0.492 3.969
-2.998 -2.821 1.434
```

18.
DFT (PBE) results for crystalline LaCoB at its relaxed geometry. Values from VASP.

Summary:
ΔE to the lowest computed polymorph = 0 meV per atom
space-group type = P4/nmm (129)

Quantum ESPRESSO input file:
```
&SYSTEM
  ibrav = 0, nat = 6, ntyp = 3
/
ATOMIC_SPECIES
B 10.81 B.upf
Co 58.93 Co.upf
La 138.91 La.upf
ATOMIC_POSITIONS crystal
B 0.000 0.500 0.390
B 0.500 0.000 0.610
Co 0.000 0.000 0.500
Co 0.500 0.500 0.500
La 0.500 0.000 0.212
La 0.000 0.500 0.788
CELL_PARAMETERS angstrom
3.590 0.000 0.000
0.000 3.590 0.000
0.000 0.000 8.360
```

19.
DFT (PBE) results for crystalline YCd2Ni at its relaxed geometry. Values from VASP.

Summary:
DFT formation energy = -72 kJ/mol of formula units
space-group type = F-43m (216)

Quantum ESPRESSO input file:
```
&SYSTEM
  ibrav = 0, nat = 4, ntyp = 3
/
ATOMIC_SPECIES
Cd 112.41 Cd.upf
Ni 58.69 Ni.upf
Y 88.91 Y.upf
ATOMIC_POSITIONS crystal
Cd 0.000 0.000 0.000
Cd 0.750 0.750 0.750
Ni 0.250 0.250 0.250
Y 0.500 0.500 0.500
CELL_PARAMETERS angstrom
-1.753 -4.484 0.394
2.710 -3.777 -1.314
1.759 -2.995 3.358
```

20.
DFT (PBE) results for crystalline LaSmMo at its relaxed geometry. Values from VASP.

Summary:
DFT formation energy = 334 kJ/mol of formula units
space-group type = F-43m (216)

Quantum ESPRESSO input file:
```
&SYSTEM
  ibrav = 0, nat = 3, ntyp = 3
/
ATOMIC_SPECIES
La 138.91 La.upf
Mo 95.94 Mo.upf
Sm 150.36 Sm.upf
ATOMIC_POSITIONS crystal
La 0.250 0.250 0.250
Mo 0.750 0.750 0.750
Sm 0.000 0.000 0.000
CELL_PARAMETERS angstrom
0.000 3.488 3.488
3.488 0.000 3.488
3.488 3.488 0.000
```